1.
Here is a relaxed HfV2Rh2 crystal from Alexandria via LeMat-Bulk. Energies are from GGA-PBE.

Properties
SG: P4/mbm (127)
N(E_F) in states/eV/f.u.: 5.37
Volume in Å³ per cell: 153.7
Energy above the most stable polymorph in this dataset in eV/atom: 0.000
E in eV per atom: -8.850
Formation enthalpy at 0 K in kJ per mole of atoms: -26
Total magnetic moment in μB/f.u.: 0.0

```
10
Lattice="7.4329 0.0000 0.0000 0.0000 7.4329 0.0000 0.0000 0.0000 2.7824" Properties=species:S:1:pos:R:3 pbc="T T T"
Hf 0.0000 0.0000 0.0000
Hf 3.7165 3.7165 0.0000
V 1.0991 2.6173 0.0000
V 2.6173 6.3338 0.0000
V 4.8156 1.0991 0.0000
V 6.3338 4.8156 0.0000
Rh 1.1097 4.8262 1.3912
Rh 2.6067 1.1097 1.3912
Rh 4.8262 6.3232 1.3912
Rh 6.3232 2.6067 1.3912
```

---

2.
Here is a relaxed Tb3Ga7Rh2 crystal from Alexandria via LeMat-Bulk. Energies are from GGA-PBE.

Properties
SG: P2/m (10)
N(E_F) in states/eV/f.u.: 6.50
Volume in Å³ per cell: 235.2
E in eV per atom: -4.843
Formation enthalpy at 0 K in kJ per mole of atoms: -67
Total magnetic moment in μB/f.u.: 0.0

```
12
Lattice="4.2018 0.0000 0.0000 0.0000 4.1779 0.0000 -2.0740 0.0000 13.3975" Properties=species:S:1:pos:R:3 pbc="T T T"
Tb 0.0000 0.0000 0.0000
Tb 0.0125 2.0889 8.5708
Tb 2.1153 2.0889 4.8266
Ga 0.0029 2.0889 2.1763
Ga 0.0119 0.0000 5.9916
Ga 0.0282 0.0000 11.2203
Ga 2.1009 2.0889 0.0000
Ga 2.0996 0.0000 2.1771
Ga 2.1159 0.0000 7.4059
Ga 2.1249 2.0889 11.2212
Rh -0.0015 0.0000 3.5136
Rh 2.1293 0.0000 9.8838
```

---

3.
Here is a relaxed CaMn3Ni crystal from Alexandria via LeMat-Bulk. Energies are from GGA-PBE.

Properties
SG: Pm-3m (221)
N(E_F) in states/eV/f.u.: 5.26
Volume in Å³ per cell: 100.2
Energy above the most stable polymorph in this dataset in eV/atom: 0.000
E in eV per atom: -6.542
Formation enthalpy at 0 K in kJ per mole of atoms: 50
Total magnetic moment in μB/f.u.: 12.2

```
5
Lattice="4.6443 0.0000 0.0000 0.0000 4.6443 0.0000 0.0000 0.0000 4.6443" Properties=species:S:1:pos:R:3 pbc="T T T"
Ca 0.0000 0.0000 0.0000
Mn 0.0000 2.3221 2.3221
Mn 2.3221 0.0000 2.3221
Mn 2.3221 2.3221 0.0000
Ni 2.3221 2.3221 2.3221
```

---

Q: formation enthalpy at 0 K of number 1 (HfV2Rh2)?
A: -26 kJ per mole of atoms